[1]
! TlHgO PBE-GGA optimized geometry; values from VASP
! E_form (uncorrected): -0.42 eV/atom
! Excess energy over the best structure of this formula in the dataset: 0.06 eV/f.u.
! Crystal system: triclinic
! Total magnetic moment: 0.0 μB/f.u.
&SYSTEM
  ibrav = 0, nat = 6, ntyp = 3
/
ATOMIC_SPECIES
O 16.00 O.upf
Hg 200.59 Hg.upf
Tl 204.38 Tl.upf
CELL_PARAMETERS angstrom
3.795 0.034 -0.231
-1.938 3.257 -0.267
0.729 -0.599 12.961
ATOMIC_POSITIONS crystal
O 0.926 0.317 0.238
O 0.074 0.683 0.762
Hg 0.972 0.428 0.398
Hg 0.028 0.572 0.602
Tl 0.772 0.078 0.859
Tl 0.228 0.922 0.141

***

[2]
! Tl8Hg5O PBE-GGA optimized geometry; values from VASP
! E_form (uncorrected): -0.08 eV/atom
! Crystal system: tetragonal
! Density of states at the Fermi level: 0.353 states/eV per atom
! Total magnetic moment: 0.0 μB/f.u.
&SYSTEM
  ibrav = 0, nat = 14, ntyp = 3
/
ATOMIC_SPECIES
Tl 204.38 Tl.upf
Hg 200.59 Hg.upf
O 16.00 O.upf
CELL_PARAMETERS angstrom
1.468 0.661 -7.991
6.894 -2.641 3.456
-6.118 -5.202 1.399
ATOMIC_POSITIONS crystal
Tl 0.032 0.714 0.176
Tl 0.286 0.462 0.318
Tl 0.538 0.856 0.824
Tl 0.144 0.968 0.682
Tl 0.752 0.362 0.256
Tl 0.638 0.893 0.390
Tl 0.107 0.496 0.744
Tl 0.504 0.248 0.610
Hg 0.336 0.007 0.117
Hg 0.500 0.500 0.000
Hg 0.781 0.664 0.671
Hg 0.993 0.110 0.329
Hg 0.890 0.219 0.883
O 0.250 0.750 0.500

***

[3]
! TlHgO PBE-GGA optimized geometry; values from VASP
! E_form (uncorrected): -0.24 eV/atom
! Excess energy over the best structure of this formula in the dataset: 0.59 eV/f.u.
! Crystal system: trigonal
! Density of states at the Fermi level: 0.510 states/eV per atom
! Total magnetic moment: 0.0 μB/f.u.
&SYSTEM
  ibrav = 0, nat = 3, ntyp = 3
/
ATOMIC_SPECIES
Tl 204.38 Tl.upf
O 16.00 O.upf
Hg 200.59 Hg.upf
CELL_PARAMETERS angstrom
3.674 0.000 0.000
-1.837 3.182 0.000
0.000 0.000 5.363
ATOMIC_POSITIONS crystal
Tl 0.667 0.333 0.414
O 0.333 0.667 0.629
Hg 0.000 0.000 0.958

***

[4]
! Tl2Hg2O PBE-GGA optimized geometry; values from VASP
! E_form (uncorrected): -0.31 eV/atom
! Crystal system: tetragonal
! Density of states at the Fermi level: 0.002 states/eV per atom
! Total magnetic moment: 0.0 μB/f.u.
&SYSTEM
  ibrav = 0, nat = 10, ntyp = 3
/
ATOMIC_SPECIES
Tl 204.38 Tl.upf
O 16.00 O.upf
Hg 200.59 Hg.upf
CELL_PARAMETERS angstrom
3.598 0.000 -0.484
-0.065 3.598 -0.484
1.322 1.346 23.425
ATOMIC_POSITIONS crystal
Tl 0.284 0.284 0.567
Tl 0.534 0.034 0.067
Tl 0.716 0.716 0.433
Tl 0.966 0.466 0.933
O 0.500 0.500 0.000
O 0.750 0.250 0.500
Hg 0.156 0.156 0.313
Hg 0.094 0.594 0.187
Hg 0.844 0.844 0.687
Hg 0.406 0.906 0.813